i | A geometry-optimized Li2TbHg structure, computed with PBE-GGA.

abc: 9.0451 4.6795 4.8837
angles: 90.00 122.52 90.00
Fractional positions:
Li 0.0000 0.0000 0.0000
Li 0.2394 0.5000 0.2386
Li 0.5000 0.5000 0.0000
Li 0.7395 0.0000 0.2386
Tb 0.2410 0.0000 0.7400
Tb 0.7410 0.5000 0.7400
Hg 0.4830 0.0000 0.4810
Hg 0.9830 0.5000 0.4810

ii | A geometry-optimized Li2TbHg structure, computed with PBE-GGA.

abc: 4.7349 5.6380 6.7378
angles: 90.00 90.00 90.00
Fractional positions:
Li 0.2500 0.0068 0.1073
Li 0.2500 0.4932 0.1073
Li 0.7500 0.5068 0.8927
Li 0.7500 0.9932 0.8927
Tb 0.2500 0.2500 0.5676
Tb 0.7500 0.7500 0.4324
Hg 0.2500 0.7500 0.7458
Hg 0.7500 0.2500 0.2542

iii | A geometry-optimized Li2TbHg structure, computed with PBE-GGA.

abc: 3.5553 3.5553 6.8513
angles: 90.00 90.00 90.00
Fractional positions:
Li 0.0000 0.0000 0.1959
Li 0.0000 0.0000 0.8041
Tb 0.5000 0.5000 0.5000
Hg 0.5000 0.5000 0.0000

Decreasing stability: ii, i, iii

i | A geometry-optimized LiTbHg4 structure, computed with PBE-GGA.

abc: 6.6323 6.6300 7.1236
angles: 90.00 90.13 90.00
Fractional positions:
Li 0.0000 0.0000 0.0000
Li 0.5000 0.5000 0.0000
Tb 0.0000 0.5000 0.5000
Tb 0.5000 0.0000 0.5000
Hg 0.2505 0.2494 0.7847
Hg 0.2495 0.2506 0.2153
Hg 0.2495 0.7494 0.2153
Hg 0.2505 0.7506 0.7847
Hg 0.7495 0.2494 0.2153
Hg 0.7505 0.2506 0.7847
Hg 0.7505 0.7494 0.7847
Hg 0.7495 0.7506 0.2153

ii | A geometry-optimized LiTbHg4 structure, computed with PBE-GGA.

abc: 10.2070 3.8814 7.4750
angles: 90.00 110.80 90.00
Fractional positions:
Li 0.0000 0.0000 0.0000
Li 0.5000 0.5000 0.0000
Tb 0.0000 0.0000 0.5000
Tb 0.5000 0.5000 0.5000
Hg 0.1632 0.5000 0.8462
Hg 0.1641 0.5000 0.3154
Hg 0.3359 0.0000 0.6846
Hg 0.3368 0.0000 0.1538
Hg 0.6632 0.0000 0.8462
Hg 0.6641 0.0000 0.3154
Hg 0.8359 0.5000 0.6846
Hg 0.8368 0.5000 0.1538

Decreasing stability: ii, i

i | A geometry-optimized LiTb2Hg structure, computed with PBE-GGA.

abc: 5.1726 5.1726 3.8118
angles: 90.00 90.00 90.00
Fractional positions:
Li 0.0000 0.0000 0.0000
Tb 0.0000 0.5000 0.5000
Tb 0.5000 0.0000 0.5000
Hg 0.5000 0.5000 0.0000

ii | A geometry-optimized LiTb2Hg structure, computed with PBE-GGA.

abc: 7.4152 7.4152 7.4152
angles: 90.00 90.00 90.00
Fractional positions:
Li 0.0000 0.0000 0.0000
Li 0.0000 0.5000 0.5000
Li 0.5000 0.0000 0.5000
Li 0.5000 0.5000 0.0000
Tb 0.2500 0.2500 0.2500
Tb 0.2500 0.2500 0.7500
Tb 0.2500 0.7500 0.2500
Tb 0.2500 0.7500 0.7500
Tb 0.7500 0.2500 0.2500
Tb 0.7500 0.2500 0.7500
Tb 0.7500 0.7500 0.2500
Tb 0.7500 0.7500 0.7500
Hg 0.0000 0.0000 0.5000
Hg 0.0000 0.5000 0.0000
Hg 0.5000 0.0000 0.0000
Hg 0.5000 0.5000 0.5000

iii | A geometry-optimized LiTb2Hg structure, computed with PBE-GGA.

abc: 3.5798 3.5798 30.4729
angles: 90.00 90.00 120.00
Fractional positions:
Li 0.0000 0.0000 0.0000
Li 0.3333 0.6667 0.6667
Li 0.6667 0.3333 0.3333
Tb 0.0000 0.0000 0.5791
Tb 0.0000 0.0000 0.7541
Tb 0.3333 0.6667 0.2458
Tb 0.3333 0.6667 0.4208
Tb 0.6667 0.3333 0.0874
Tb 0.6667 0.3333 0.9124
Hg 0.0000 0.0000 0.1665
Hg 0.3333 0.6667 0.8332
Hg 0.6667 0.3333 0.4998

Decreasing stability: i, ii, iii

i | A geometry-optimized Li2Tb3Hg4 structure, computed with PBE-GGA.

abc: 5.2630 5.2630 9.0556
angles: 98.96 98.96 58.84
Fractional positions:
Li 0.2273 0.2273 0.3996
Li 0.7727 0.7727 0.6004
Tb 0.1240 0.1240 0.7350
Tb 0.5000 0.5000 0.0000
Tb 0.8760 0.8760 0.2650
Hg 0.1894 0.1894 0.0958
Hg 0.4390 0.4390 0.6442
Hg 0.5610 0.5610 0.3558
Hg 0.8106 0.8106 0.9042

ii | A geometry-optimized Li2Tb3Hg4 structure, computed with PBE-GGA.

abc: 5.9639 5.9639 9.0733
angles: 117.14 117.14 48.35
Fractional positions:
Li 0.1286 0.1286 0.2995
Li 0.8714 0.8714 0.7005
Tb 0.1597 0.1597 0.6758
Tb 0.5000 0.5000 0.0000
Tb 0.8403 0.8403 0.3242
Hg 0.2102 0.2102 0.0638
Hg 0.4261 0.4261 0.6061
Hg 0.5739 0.5739 0.3939
Hg 0.7898 0.7898 0.9362

Decreasing stability: i, ii

i | A geometry-optimized LiTb4Hg2 structure, computed with PBE-GGA.

abc: 8.8068 8.8068 8.8068
angles: 34.30 34.30 34.30
Fractional positions:
Li 0.0000 0.0000 0.0000
Tb 0.1319 0.1319 0.1319
Tb 0.3847 0.3847 0.3847
Tb 0.6153 0.6153 0.6153
Tb 0.8681 0.8681 0.8681
Hg 0.2580 0.2580 0.2580
Hg 0.7420 0.7420 0.7420

ii | A geometry-optimized LiTb4Hg2 structure, computed with PBE-GGA.

abc: 9.1624 9.1624 9.1624
angles: 32.95 32.95 32.95
Fractional positions:
Li 0.0000 0.0000 0.0000
Tb 0.2143 0.2143 0.2143
Tb 0.3733 0.3733 0.3733
Tb 0.6267 0.6267 0.6267
Tb 0.7857 0.7857 0.7857
Hg 0.0953 0.0953 0.0953
Hg 0.9047 0.9047 0.9047

Decreasing stability: i, ii

i | A geometry-optimized Li2TbHg3 structure, computed with PBE-GGA.

abc: 4.6782 4.6782 13.5577
angles: 90.00 90.00 120.00
Fractional positions:
Li 0.3333 0.6667 0.0709
Li 0.3333 0.6667 0.4291
Li 0.6667 0.3333 0.5709
Li 0.6667 0.3333 0.9291
Tb 0.0000 0.0000 0.2500
Tb 0.0000 0.0000 0.7500
Hg 0.0000 0.0000 0.0000
Hg 0.0000 0.0000 0.5000
Hg 0.3333 0.6667 0.6324
Hg 0.3333 0.6667 0.8676
Hg 0.6667 0.3333 0.1324
Hg 0.6667 0.3333 0.3676

ii | A geometry-optimized Li2TbHg3 structure, computed with PBE-GGA.

abc: 3.4650 3.4650 10.4818
angles: 90.00 90.00 90.00
Fractional positions:
Li 0.0000 0.0000 0.1532
Li 0.0000 0.0000 0.8468
Tb 0.0000 0.0000 0.5000
Hg 0.5000 0.5000 0.0000
Hg 0.5000 0.5000 0.3020
Hg 0.5000 0.5000 0.6980

Decreasing stability: ii, i

i | A geometry-optimized Li3TcHg structure, computed with PBE-GGA.

abc: 4.9427 4.9427 4.9427
angles: 90.00 90.00 90.00
Fractional positions:
Li 0.0000 0.0000 0.5000
Li 0.0000 0.5000 0.0000
Li 0.5000 0.0000 0.0000
Tc 0.0000 0.0000 0.0000
Hg 0.5000 0.5000 0.5000

ii | A geometry-optimized Li3TcHg structure, computed with PBE-GGA.

abc: 4.7733 4.7733 4.7733
angles: 90.00 90.00 90.00
Fractional positions:
Li 0.0000 0.0000 0.5000
Li 0.0000 0.5000 0.0000
Li 0.5000 0.0000 0.0000
Tc 0.5000 0.5000 0.5000
Hg 0.0000 0.0000 0.0000

Decreasing stability: ii, i

i | A geometry-optimized LiTcHg3 structure, computed with PBE-GGA.

abc: 5.3039 5.3039 5.3039
angles: 90.00 90.00 90.00
Fractional positions:
Li 0.0000 0.0000 0.0000
Tc 0.5000 0.5000 0.5000
Hg 0.0000 0.5000 0.5000
Hg 0.5000 0.0000 0.5000
Hg 0.5000 0.5000 0.0000

ii | A geometry-optimized LiTcHg3 structure, computed with PBE-GGA.

abc: 4.7544 4.7544 4.7544
angles: 90.00 90.00 90.00
Fractional positions:
Li 0.0000 0.0000 0.0000
Tc 0.5000 0.5000 0.5000
Hg 0.0000 0.0000 0.5000
Hg 0.0000 0.5000 0.0000
Hg 0.5000 0.0000 0.0000

Decreasing stability: i, ii